Model a:
# TiCuP2O8 | Alexandria via LeMat-Bulk | PBE-GGA | optimized geometry
# Size of the total moment ... 1.00 μB per formula unit
data_TiCuP2O8
_chemical_formula_sum 'Ti3 Cu3 P6 O24'
_cell_length_a 8.5498
_cell_length_b 8.5498
_cell_length_c 8.5498
_cell_angle_alpha 60.52
_cell_angle_beta 60.52
_cell_angle_gamma 60.52
_space_group_name_H-M_alt 'P 1'
_space_group_IT_number 1
loop_
_space_group_symop_operation_xyz
'x,y,z'
loop_
_atom_site_label
_atom_site_type_symbol
_atom_site_fract_x
_atom_site_fract_y
_atom_site_fract_z
_atom_site_occupancy
Ti1 Ti 0.0000 0.0000 0.0000 1
Ti2 Ti 0.2142 0.2142 0.2142 1
Ti3 Ti 0.5014 0.5014 0.5014 1
Cu1 Cu 0.3566 0.3566 0.3566 1
Cu2 Cu 0.7142 0.7142 0.7142 1
Cu3 Cu 0.8562 0.8562 0.8562 1
P1 P 0.1065 0.8141 0.4016 1
P2 P 0.3169 0.6100 0.9007 1
P3 P 0.4016 0.1065 0.8141 1
P4 P 0.6100 0.9007 0.3169 1
P5 P 0.8141 0.4016 0.1065 1
P6 P 0.9007 0.3169 0.6100 1
O1 O 0.0466 0.8578 0.2364 1
O2 O 0.0968 0.2864 0.4477 1
O3 O 0.1210 0.7744 0.9086 1
O4 O 0.1800 0.9730 0.3473 1
O5 O 0.2364 0.0466 0.8578 1
O6 O 0.2694 0.6188 0.4175 1
O7 O 0.2864 0.4477 0.0968 1
O8 O 0.3473 0.1800 0.9730 1
O9 O 0.3642 0.5451 0.7371 1
O10 O 0.4175 0.2694 0.6188 1
O11 O 0.4477 0.0968 0.2864 1
O12 O 0.4710 0.6678 0.8746 1
O13 O 0.5451 0.7371 0.3642 1
O14 O 0.5928 0.9434 0.8117 1
O15 O 0.6188 0.4175 0.2694 1
O16 O 0.6678 0.8746 0.4710 1
O17 O 0.7371 0.3642 0.5451 1
O18 O 0.7744 0.9086 0.1210 1
O19 O 0.8117 0.5928 0.9434 1
O20 O 0.8578 0.2364 0.0466 1
O21 O 0.8746 0.4710 0.6678 1
O22 O 0.9086 0.1210 0.7744 1
O23 O 0.9434 0.8117 0.5928 1
O24 O 0.9730 0.3473 0.1800 1

Model b:
# TiCuP2O8 | Alexandria via LeMat-Bulk | PBE-GGA | optimized geometry
# Size of the total moment ... 1.00 μB per formula unit
data_TiCuP2O8
_chemical_formula_sum 'Ti2 Cu2 P4 O16'
_cell_length_a 5.0185
_cell_length_b 6.0265
_cell_length_c 10.0038
_cell_angle_alpha 90.00
_cell_angle_beta 92.42
_cell_angle_gamma 90.00
_space_group_name_H-M_alt 'P 1'
_space_group_IT_number 1
loop_
_space_group_symop_operation_xyz
'x,y,z'
loop_
_atom_site_label
_atom_site_type_symbol
_atom_site_fract_x
_atom_site_fract_y
_atom_site_fract_z
_atom_site_occupancy
Ti1 Ti 0.0396 0.2500 0.2836 1
Ti2 Ti 0.9604 0.7500 0.7164 1
Cu1 Cu 0.3738 0.2500 0.7988 1
Cu2 Cu 0.6262 0.7500 0.2012 1
P1 P 0.0732 0.7500 0.3993 1
P2 P 0.4090 0.7500 0.8956 1
P3 P 0.5910 0.2500 0.1044 1
P4 P 0.9268 0.2500 0.6007 1
O1 O 0.1404 0.7500 0.5531 1
O2 O 0.1988 0.5395 0.3358 1
O3 O 0.1988 0.9605 0.3358 1
O4 O 0.2314 0.2500 0.6213 1
O5 O 0.2394 0.5582 0.8255 1
O6 O 0.2394 0.9418 0.8255 1
O7 O 0.3014 0.2500 0.1471 1
O8 O 0.3899 0.7500 0.0460 1
O9 O 0.6101 0.2500 0.9540 1
O10 O 0.6986 0.7500 0.8529 1
O11 O 0.7606 0.0582 0.1745 1
O12 O 0.7606 0.4418 0.1745 1
O13 O 0.7686 0.7500 0.3787 1
O14 O 0.8012 0.0395 0.6642 1
O15 O 0.8012 0.4605 0.6642 1
O16 O 0.8596 0.2500 0.4469 1

Relative to the most stable one, in meV per atom, the structures come out at model a 17; model b 0.

Model a:
# TiCuPO2 | Alexandria via LeMat-Bulk | PBE-GGA | optimized geometry
# Size of the total moment ... 0.00 μB per formula unit
data_TiCuPO2
_chemical_formula_sum 'Ti1 Cu1 P1 O2'
_cell_length_a 3.7301
_cell_length_b 3.7301
_cell_length_c 4.5191
_cell_angle_alpha 90.00
_cell_angle_beta 90.00
_cell_angle_gamma 90.00
_space_group_name_H-M_alt 'P 1'
_space_group_IT_number 1
loop_
_space_group_symop_operation_xyz
'x,y,z'
loop_
_atom_site_label
_atom_site_type_symbol
_atom_site_fract_x
_atom_site_fract_y
_atom_site_fract_z
_atom_site_occupancy
Ti1 Ti 0.0000 0.0000 0.0000 1
Cu1 Cu 0.5000 0.5000 0.5000 1
P1 P 0.5000 0.5000 0.0000 1
O1 O 0.0000 0.5000 0.5000 1
O2 O 0.5000 0.0000 0.5000 1

Model b:
# TiCuPO2 | Alexandria via LeMat-Bulk | PBE-GGA | optimized geometry
# Size of the total moment ... 0.20 μB per formula unit
data_TiCuPO2
_chemical_formula_sum 'Ti1 Cu1 P1 O2'
_cell_length_a 3.6930
_cell_length_b 3.6930
_cell_length_c 5.4876
_cell_angle_alpha 90.00
_cell_angle_beta 90.00
_cell_angle_gamma 90.00
_space_group_name_H-M_alt 'P 1'
_space_group_IT_number 1
loop_
_space_group_symop_operation_xyz
'x,y,z'
loop_
_atom_site_label
_atom_site_type_symbol
_atom_site_fract_x
_atom_site_fract_y
_atom_site_fract_z
_atom_site_occupancy
Ti1 Ti 0.0000 0.0000 0.0000 1
Cu1 Cu 0.5000 0.5000 0.5000 1
P1 P 0.0000 0.0000 0.5000 1
O1 O 0.0000 0.5000 0.0000 1
O2 O 0.5000 0.0000 0.0000 1

Relative to the most stable one, in meV per atom, the structures come out at model a 842; model b 0.

Model a:
# TlCuPO2 | Alexandria via LeMat-Bulk | PBE-GGA | optimized geometry
# Size of the total moment ... 1.08 μB per formula unit
data_TlCuPO2
_chemical_formula_sum 'Tl1 Cu1 P1 O2'
_cell_length_a 4.0213
_cell_length_b 4.0213
_cell_length_c 5.8979
_cell_angle_alpha 90.00
_cell_angle_beta 90.00
_cell_angle_gamma 90.00
_space_group_name_H-M_alt 'P 1'
_space_group_IT_number 1
loop_
_space_group_symop_operation_xyz
'x,y,z'
loop_
_atom_site_label
_atom_site_type_symbol
_atom_site_fract_x
_atom_site_fract_y
_atom_site_fract_z
_atom_site_occupancy
Tl1 Tl 0.0000 0.0000 0.0000 1
Cu1 Cu 0.5000 0.5000 0.5000 1
P1 P 0.0000 0.0000 0.5000 1
O1 O 0.0000 0.5000 0.0000 1
O2 O 0.5000 0.0000 0.0000 1

Model b:
# TlCuPO2 | Alexandria via LeMat-Bulk | PBE-GGA | optimized geometry
# Size of the total moment ... 0.61 μB per formula unit
data_TlCuPO2
_chemical_formula_sum 'Tl1 Cu1 P1 O2'
_cell_length_a 3.8612
_cell_length_b 3.8612
_cell_length_c 4.8063
_cell_angle_alpha 90.00
_cell_angle_beta 90.00
_cell_angle_gamma 90.00
_space_group_name_H-M_alt 'P 1'
_space_group_IT_number 1
loop_
_space_group_symop_operation_xyz
'x,y,z'
loop_
_atom_site_label
_atom_site_type_symbol
_atom_site_fract_x
_atom_site_fract_y
_atom_site_fract_z
_atom_site_occupancy
Tl1 Tl 0.0000 0.0000 0.0000 1
Cu1 Cu 0.5000 0.5000 0.5000 1
P1 P 0.5000 0.5000 0.0000 1
O1 O 0.0000 0.5000 0.5000 1
O2 O 0.5000 0.0000 0.5000 1

Relative to the most stable one, in meV per atom, the structures come out at model a 633; model b 0.

Model a:
# TlCuPO4 | Alexandria via LeMat-Bulk | PBE-GGA | optimized geometry
# Size of the total moment ... 1.02 μB per formula unit
data_TlCuPO4
_chemical_formula_sum 'Tl2 Cu2 P2 O8'
_cell_length_a 5.8030
_cell_length_b 5.8030
_cell_length_c 6.8029
_cell_angle_alpha 90.00
_cell_angle_beta 90.00
_cell_angle_gamma 90.00
_space_group_name_H-M_alt 'P 1'
_space_group_IT_number 1
loop_
_space_group_symop_operation_xyz
'x,y,z'
loop_
_atom_site_label
_atom_site_type_symbol
_atom_site_fract_x
_atom_site_fract_y
_atom_site_fract_z
_atom_site_occupancy
Tl1 Tl 0.0000 0.0000 0.0000 1
Tl2 Tl 0.5000 0.5000 0.5000 1
Cu1 Cu 0.0000 0.0000 0.5000 1
Cu2 Cu 0.5000 0.5000 0.0000 1
P1 P 0.0000 0.5000 0.7500 1
P2 P 0.5000 0.0000 0.2500 1
O1 O 0.0903 0.2967 0.6218 1
O2 O 0.2033 0.5903 0.8782 1
O3 O 0.2967 0.9097 0.3782 1
O4 O 0.4097 0.2033 0.1218 1
O5 O 0.5903 0.7967 0.1218 1
O6 O 0.7033 0.0903 0.3782 1
O7 O 0.7967 0.4097 0.8782 1
O8 O 0.9097 0.7033 0.6218 1

Model b:
# TlCuPO4 | Alexandria via LeMat-Bulk | PBE-GGA | optimized geometry
# Size of the total moment ... 0.98 μB per formula unit
data_TlCuPO4
_chemical_formula_sum 'Tl4 Cu4 P4 O16'
_cell_length_a 4.9431
_cell_length_b 4.9431
_cell_length_c 18.4907
_cell_angle_alpha 93.36
_cell_angle_beta 93.36
_cell_angle_gamma 88.89
_space_group_name_H-M_alt 'P 1'
_space_group_IT_number 1
loop_
_space_group_symop_operation_xyz
'x,y,z'
loop_
_atom_site_label
_atom_site_type_symbol
_atom_site_fract_x
_atom_site_fract_y
_atom_site_fract_z
_atom_site_occupancy
Tl1 Tl 0.2059 0.7796 0.9359 1
Tl2 Tl 0.2204 0.7941 0.5641 1
Tl3 Tl 0.7796 0.2059 0.4359 1
Tl4 Tl 0.7941 0.2204 0.0641 1
Cu1 Cu 0.1876 0.3094 0.7496 1
Cu2 Cu 0.3094 0.1876 0.2496 1
Cu3 Cu 0.6906 0.8124 0.7504 1
Cu4 Cu 0.8124 0.6906 0.2504 1
P1 P 0.2823 0.6601 0.1480 1
P2 P 0.3399 0.7177 0.3520 1
P3 P 0.6601 0.2823 0.6480 1
P4 P 0.7177 0.3399 0.8520 1
O1 O 0.0332 0.7861 0.3379 1
O2 O 0.1205 0.4989 0.2041 1
O3 O 0.1944 0.5630 0.0705 1
O4 O 0.2139 0.9668 0.1621 1
O5 O 0.4064 0.4097 0.3368 1
O6 O 0.4097 0.4064 0.8368 1
O7 O 0.4370 0.8056 0.4295 1
O8 O 0.4989 0.1205 0.7041 1
O9 O 0.5011 0.8795 0.2959 1
O10 O 0.5630 0.1944 0.5705 1
O11 O 0.5903 0.5936 0.1632 1
O12 O 0.5936 0.5903 0.6632 1
O13 O 0.7861 0.0332 0.8379 1
O14 O 0.8056 0.4370 0.9295 1
O15 O 0.8795 0.5011 0.7959 1
O16 O 0.9668 0.2139 0.6621 1

Relative to the most stable one, in meV per atom, the structures come out at model a 86; model b 0.